Below is an optimized crystal structure of Hf2NbHgN, with properties calculated at the PBE-GGA level. Values from VASP.

The space group is P4/mmm, No. 123. Its density of states at the Fermi level is 2.92 states/eV/f.u. For the total energy, the calculation gives -8.356 eV per atom.

The structure in Quantum ESPRESSO input format:
```
&SYSTEM
  ibrav = 0, nat = 5, ntyp = 4
/
ATOMIC_SPECIES
Hg 200.59 Hg.upf
Hf 178.49 Hf.upf
Nb 92.91 Nb.upf
N 14.01 N.upf
ATOMIC_POSITIONS crystal
Hg 0.500 0.500 0.500
Hf 0.000 0.500 0.000
Hf 0.500 0.000 0.000
Nb 0.000 0.000 0.500
N 0.000 0.000 0.000
CELL_PARAMETERS angstrom
4.503 0.000 0.000
0.000 4.503 0.000
0.000 0.000 4.217
```